No. 1
! YMn3Au (PBE, relaxed); values from VASP
&SYSTEM
  ibrav = 0, nat = 5, ntyp = 3
/
ATOMIC_SPECIES
Y 88.91 Y.upf
Mn 54.94 Mn.upf
Au 196.97 Au.upf
CELL_PARAMETERS angstrom
4.9298 0.0000 0.0000
0.0000 4.9298 0.0000
0.0000 0.0000 4.9298
ATOMIC_POSITIONS crystal
Y 0.0000 0.0000 0.0000
Mn 0.0000 0.5000 0.5000
Mn 0.5000 0.0000 0.5000
Mn 0.5000 0.5000 0.0000
Au 0.5000 0.5000 0.5000
! density = 6.25 g/cm3
! final energy = -6.79 eV per atom



No. 2
! YMnAu3 (PBE, relaxed); values from VASP
&SYSTEM
  ibrav = 0, nat = 5, ntyp = 3
/
ATOMIC_SPECIES
Y 88.91 Y.upf
Mn 54.94 Mn.upf
Au 196.97 Au.upf
CELL_PARAMETERS angstrom
4.8978 0.0000 0.0000
0.0000 4.8978 0.0000
0.0000 0.0000 4.8978
ATOMIC_POSITIONS crystal
Y 0.0000 0.0000 0.0000
Mn 0.5000 0.5000 0.5000
Au 0.0000 0.5000 0.5000
Au 0.5000 0.0000 0.5000
Au 0.5000 0.5000 0.0000
! density = 10.38 g/cm3
! final energy = -5.06 eV per atom



No. 3
! YMnAu2 (PBE, relaxed); values from VASP
&SYSTEM
  ibrav = 0, nat = 4, ntyp = 3
/
ATOMIC_SPECIES
Y 88.91 Y.upf
Mn 54.94 Mn.upf
Au 196.97 Au.upf
CELL_PARAMETERS angstrom
4.6489 0.0000 0.0000
0.0000 4.6489 0.0000
0.0000 0.0000 3.7507
ATOMIC_POSITIONS crystal
Y 0.0000 0.0000 0.0000
Mn 0.5000 0.5000 0.0000
Au 0.0000 0.5000 0.5000
Au 0.5000 0.0000 0.5000
! density = 11.02 g/cm3
! final energy = -5.90 eV per atom



No. 4
! YMnAu2 (PBE, relaxed); values from VASP
&SYSTEM
  ibrav = 0, nat = 4, ntyp = 3
/
ATOMIC_SPECIES
Y 88.91 Y.upf
Mn 54.94 Mn.upf
Au 196.97 Au.upf
CELL_PARAMETERS angstrom
-1.8350 2.1030 5.6592
1.8350 -2.1030 5.6592
1.8350 2.1030 -5.6592
ATOMIC_POSITIONS crystal
Y 0.0000 0.0000 0.0000
Mn 0.5000 0.5000 0.0000
Au 0.2770 0.2770 0.0000
Au 0.7230 0.7230 0.0000
! density = 10.22 g/cm3
! final energy = -5.33 eV per atom



No. 5
! YMnAu2 (PBE, relaxed); values from VASP
&SYSTEM
  ibrav = 0, nat = 4, ntyp = 3
/
ATOMIC_SPECIES
Y 88.91 Y.upf
Mn 54.94 Mn.upf
Au 196.97 Au.upf
CELL_PARAMETERS angstrom
1.7221 0.9943 8.5384
-1.7221 0.9943 8.5384
0.0000 -1.9885 8.5384
ATOMIC_POSITIONS crystal
Y 0.0000 0.0000 0.0000
Mn 0.7616 0.7616 0.7616
Au 0.2487 0.2487 0.2487
Au 0.4981 0.4981 0.4981
! density = 10.18 g/cm3
! final energy = -5.51 eV per atom



No. 6
! YMn2Au (PBE, relaxed); values from VASP
&SYSTEM
  ibrav = 0, nat = 4, ntyp = 3
/
ATOMIC_SPECIES
Y 88.91 Y.upf
Mn 54.94 Mn.upf
Au 196.97 Au.upf
CELL_PARAMETERS angstrom
3.2693 0.0000 0.0000
0.0000 3.2693 0.0000
0.0000 0.0000 6.9097
ATOMIC_POSITIONS crystal
Y 0.0000 0.0000 0.0000
Mn 0.0000 0.0000 0.5304
Mn 0.5000 0.5000 0.7031
Au 0.5000 0.5000 0.2993
! density = 8.90 g/cm3
! final energy = -7.11 eV per atom



No. 7
! YMnAu2 (PBE, relaxed); values from VASP
&SYSTEM
  ibrav = 0, nat = 4, ntyp = 3
/
ATOMIC_SPECIES
Y 88.91 Y.upf
Mn 54.94 Mn.upf
Au 196.97 Au.upf
CELL_PARAMETERS angstrom
3.6134 0.0000 0.0000
0.0000 3.6134 0.0000
0.0000 0.0000 6.2097
ATOMIC_POSITIONS crystal
Y 0.0000 0.0000 0.0000
Mn 0.5000 0.5000 0.6909
Au 0.0000 0.0000 0.5164
Au 0.5000 0.5000 0.2502
! density = 11.01 g/cm3
! final energy = -5.86 eV per atom



No. 8
! YMnAu (PBE, relaxed); values from VASP
&SYSTEM
  ibrav = 0, nat = 3, ntyp = 3
/
ATOMIC_SPECIES
Y 88.91 Y.upf
Mn 54.94 Mn.upf
Au 196.97 Au.upf
CELL_PARAMETERS angstrom
0.0000 3.3264 3.3264
3.3264 0.0000 3.3264
3.3264 3.3264 0.0000
ATOMIC_POSITIONS crystal
Y 0.0000 0.0000 0.0000
Mn 0.5000 0.5000 0.5000
Au 0.2500 0.2500 0.2500
! density = 7.69 g/cm3
! final energy = -6.42 eV per atom



No. 9
! YMn2Au (PBE, relaxed); values from VASP
&SYSTEM
  ibrav = 0, nat = 4, ntyp = 3
/
ATOMIC_SPECIES
Y 88.91 Y.upf
Mn 54.94 Mn.upf
Au 196.97 Au.upf
CELL_PARAMETERS angstrom
0.0000 3.3128 3.3128
3.3128 0.0000 3.3128
3.3128 3.3128 0.0000
ATOMIC_POSITIONS crystal
Y 0.0000 0.0000 0.0000
Mn 0.2500 0.2500 0.2500
Mn 0.7500 0.7500 0.7500
Au 0.5000 0.5000 0.5000
! density = 9.04 g/cm3
! final energy = -6.92 eV per atom



No. 10
! YMn2Au (PBE, relaxed); values from VASP
&SYSTEM
  ibrav = 0, nat = 4, ntyp = 3
/
ATOMIC_SPECIES
Y 88.91 Y.upf
Mn 54.94 Mn.upf
Au 196.97 Au.upf
CELL_PARAMETERS angstrom
0.0000 3.3830 3.3830
3.3830 0.0000 3.3830
3.3830 3.3830 0.0000
ATOMIC_POSITIONS crystal
Y 0.0000 0.0000 0.0000
Mn 0.5000 0.5000 0.5000
Mn 0.7500 0.7500 0.7500
Au 0.2500 0.2500 0.2500
! density = 8.49 g/cm3
! final energy = -6.94 eV per atom



No. 11
! YMn2Au (PBE, relaxed); values from VASP
&SYSTEM
  ibrav = 0, nat = 4, ntyp = 3
/
ATOMIC_SPECIES
Y 88.91 Y.upf
Mn 54.94 Mn.upf
Au 196.97 Au.upf
CELL_PARAMETERS angstrom
2.9089 -4.8463 0.0000
2.9089 4.8463 0.0000
-1.6069 0.0000 2.7627
ATOMIC_POSITIONS crystal
Y 0.0000 0.0000 0.0000
Mn 0.0000 0.5000 0.5000
Mn 0.5000 0.0000 0.5000
Au 0.5000 0.5000 0.0000
! density = 8.44 g/cm3
! final energy = -6.79 eV per atom



No. 12
! YMn2Au (PBE, relaxed); values from VASP
&SYSTEM
  ibrav = 0, nat = 4, ntyp = 3
/
ATOMIC_SPECIES
Y 88.91 Y.upf
Mn 54.94 Mn.upf
Au 196.97 Au.upf
CELL_PARAMETERS angstrom
3.4261 0.0000 0.0000
0.0000 3.4261 0.0000
0.0000 0.0000 6.6281
ATOMIC_POSITIONS crystal
Y 0.0000 0.0000 0.0000
Mn 0.5000 0.5000 0.2895
Mn 0.5000 0.5000 0.7105
Au 0.0000 0.0000 0.5000
! density = 8.45 g/cm3
! final energy = -6.92 eV per atom



Number 1: energy of formation from the pure elements 0.66 eV/atom. Number 2: energy of formation from the pure elements 0.03 eV/atom. Number 3: energy of formation from the pure elements -0.36 eV/atom. Number 4: energy of formation from the pure elements 0.22 eV/atom. Number 5: energy of formation from the pure elements 0.03 eV/atom. Number 6: energy of formation from the pure elements -0.09 eV/atom. Number 7: energy of formation from the pure elements -0.32 eV/atom. Number 8: energy of formation from the pure elements -0.11 eV/atom. Number 9: energy of formation from the pure elements 0.10 eV/atom. Number 10: energy of formation from the pure elements 0.08 eV/atom. Number 11: energy of formation from the pure elements 0.23 eV/atom. Number 12: energy of formation from the pure elements 0.10 eV/atom.